[1]
An optimized crystal structure of MgTePb. Source: Alexandria, functional PBE.

Cell and atoms, written as POSCAR:
```
MgTePb
1.0
4.7088 0.0000 0.0000
2.3544 4.0780 0.0000
2.3544 1.3593 12.3566
Te Mg Pb
2 2 2
Direct
0.7165 0.7165 0.8505
0.2835 0.2835 0.1495
0.3618 0.3618 0.9145
0.6382 0.6382 0.0855
0.1503 0.1503 0.5491
0.8497 0.8497 0.4509
```

Output
SG = R-3m, No. 166
E above lowest polymorph = 0.000 eV per atom
formation energy from raw total energies = -352 meV/atom
total energy = -3.166 eV/atom



[2]
An optimized crystal structure of CuAgMo2. Source: Alexandria, functional PBE.

Cell and atoms, written as POSCAR:
```
CuAgMo2
1.0
3.2423 0.0000 0.0000
0.0000 3.2423 0.0000
0.0000 0.0000 5.9589
Ag Cu Mo
1 1 2
Direct
0.0000 0.0000 0.5219
0.5000 0.5000 0.7519
0.0000 0.0000 0.0047
0.5000 0.5000 0.2215
```

Output
SG = P4mm, No. 99
E above lowest polymorph = 0.112 eV per atom
calculated formation energy = 0.344 eV per atom
total energy = -6.808 eV/atom



[3]
An optimized crystal structure of Na3AgO2. Source: Alexandria, functional PBE.

Cell and atoms, written as POSCAR:
```
Na3AgO2
1.0
5.7299 0.0000 0.0000
0.0000 5.3817 0.0000
-2.8649 -2.6908 5.8884
Na Ag O
6 2 4
Direct
0.1242 0.8047 0.6093
0.4851 0.3047 0.6093
0.5000 0.2500 0.0000
0.5000 0.7500 0.0000
0.5149 0.6953 0.3907
0.8758 0.1953 0.3907
0.0000 0.7500 0.0000
0.0000 0.2500 0.0000
0.4075 0.1211 0.2421
0.5925 0.8789 0.7579
0.8346 0.6211 0.2421
0.1654 0.3789 0.7579
```

Output
SG = Ibam, No. 72
E above lowest polymorph = 0.216 eV per atom
formation energy from raw total energies = -819 meV/atom
total energy = -3.606 eV/atom



[4]
An optimized crystal structure of NaFeH2. Source: Alexandria, functional PBE.

Cell and atoms, written as POSCAR:
```
NaFeH2
1.0
-4.6869 -0.3820 -1.6666
-0.5166 -4.3193 2.4427
-3.6978 -0.6915 3.0900
H Fe Na
4 2 2
Direct
0.7161 0.1250 0.2500
0.3750 0.2839 0.7500
0.0339 0.6250 0.2500
0.8750 0.9661 0.7500
0.0000 0.0000 0.0000
0.7500 0.2500 0.5000
0.2500 0.7500 0.5000
0.5000 0.5000 0.0000
```

Output
SG = I-42d, No. 122
E above lowest polymorph = 0.029 eV per atom
total energy = -3.993 eV/atom



Which DOS at the Fermi energy belongs to each record? In order, 0.63, 2.68, 0.69, 1.26 states/eV/f.u..